# 1
A geometry-optimized SrLuAgSn structure. Source: Alexandria, functional PBE.

Properties
D(E_F) = 0.460 states/eV/atom
ΔE_f = -0.4269 eV per atom
Energy = -14.8 eV/f.u.
Size of the total moment = 0.0000 μB/atom
Space-group type = F-43m, No. 216

Unit cell a=5.3734 b=5.3734 c=5.3734 alpha=60.00 beta=60.00 gamma=60.00
Fractional coordinates of all 4 atoms:
Sr 0.5000 0.5000 0.5000
Lu 0.0000 0.0000 0.0000
Sn 0.2500 0.2500 0.2500
Ag 0.7500 0.7500 0.7500



# 2
A geometry-optimized Nd6Sm3Y2Er structure. Source: Alexandria, functional PBE.

Properties
D(E_F) = 1.259 states/eV/atom
ΔE_f = 0.0116 eV per atom
Energy = -60.1 eV/f.u.
Size of the total moment = 0.0000 μB/atom
Space-group type = C2/m, No. 12

Unit cell a=6.3139 b=6.3139 c=11.9773 alpha=95.03 beta=95.03 gamma=120.01
Fractional coordinates of all 12 atoms:
Nd 0.9170 0.5847 0.7523
Nd 0.7507 0.7507 0.2479
Nd 0.0830 0.4153 0.2477
Nd 0.5847 0.9170 0.7523
Nd 0.2493 0.2493 0.7521
Nd 0.4153 0.0830 0.2477
Sm 0.1667 0.8333 0.5000
Sm 0.8333 0.1667 0.5000
Sm 0.5000 0.5000 0.5000
Y 0.3333 0.6667 0.0000
Y 0.6667 0.3333 0.0000
Er 0.0000 0.0000 0.0000



# 3
A geometry-optimized Pm5Sn4Rh structure. Source: Alexandria, functional PBE.

Properties
D(E_F) = 1.066 states/eV/atom
ΔE_f = -0.6721 eV per atom
Energy = -53.8 eV/f.u.
Size of the total moment = 0.0001 μB/atom
Space-group type = P4/mmm, No. 123

Unit cell a=3.5110 b=3.5110 c=21.7726 alpha=90.00 beta=90.00 gamma=90.00
Fractional coordinates of all 10 atoms:
Pm 0.5000 0.5000 0.0813
Pm 0.5000 0.5000 0.2903
Pm 0.5000 0.5000 0.5000
Pm 0.5000 0.5000 0.7097
Pm 0.5000 0.5000 0.9187
Sn 0.0000 0.0000 0.1870
Sn 0.0000 0.0000 0.3954
Sn 0.0000 0.0000 0.6046
Sn 0.0000 0.0000 0.8130
Rh 0.0000 0.0000 0.0000



# 4
A geometry-optimized AsAu3I structure. Source: Alexandria, functional PBE.

Properties
D(E_F) = 0.634 states/eV/atom
Offset from the most stable computed form = 3.868 eV per formula unit
Formation energy without anion corrections = 1.1385 eV per atom
Energy = -10.3 eV/f.u.
Size of the total moment = 0.4301 μB/atom
Space-group type = Pm-3m, No. 221

Unit cell a=5.3806 b=5.3806 c=5.3806 alpha=90.00 beta=90.00 gamma=90.00
Fractional coordinates of all 5 atoms:
I 0.0000 0.0000 0.0000
As 0.5000 0.5000 0.5000
Au 0.0000 0.5000 0.0000
Au 0.0000 0.0000 0.5000
Au 0.5000 0.0000 0.0000



# 5
A geometry-optimized KHfBi2 structure. Source: Alexandria, functional PBE.

Properties
D(E_F) = 0.341 states/eV/atom
Offset from the most stable computed form = 0.000 eV per formula unit
ΔE_f = -0.2064 eV per atom
Energy = -19.6 eV/f.u.
Size of the total moment = 0.0000 μB/atom
Space-group type = R-3m, No. 166

Unit cell a=4.0678 b=4.0678 c=9.5224 alpha=77.67 beta=77.67 gamma=60.00
Fractional coordinates of all 4 atoms:
K 0.5000 0.5000 0.5000
Hf 0.0000 0.0000 0.0000
Bi 0.2649 0.2649 0.2052
Bi 0.7351 0.7351 0.7948



# 6
A geometry-optimized LaPrNd5Y2 structure. Source: Alexandria, functional PBE.

Properties
D(E_F) = 1.667 states/eV/atom
ΔE_f = 0.2744 eV per atom
Energy = -44.0 eV/f.u.
Size of the total moment = 0.0000 μB/atom
Space-group type = I4/mcm, No. 140

Unit cell a=8.9062 b=8.9062 c=10.2203 alpha=115.83 beta=115.83 gamma=90.00
Fractional coordinates of all 18 atoms:
La 0.2500 0.2500 0.5000
La 0.7500 0.7500 0.5000
Pr 0.2500 0.7500 0.5000
Pr 0.7500 0.2500 0.5000
Nd 0.9375 0.4375 0.2736
Nd 0.6639 0.1639 0.7264
Nd 0.0625 0.5625 0.7264
Nd 0.1639 0.0625 0.7264
Nd 0.5625 0.6639 0.7264
Nd 0.8361 0.9375 0.2736
Nd 0.4375 0.3361 0.2736
Nd 0.3361 0.8361 0.2736
Nd 0.5000 0.5000 0.0000
Nd 0.0000 0.0000 0.0000
Y 0.1198 0.3802 0.0000
Y 0.6198 0.1198 0.0000
Y 0.3802 0.8802 0.0000
Y 0.8802 0.6198 0.0000



# 7
A geometry-optimized K2AlCl structure. Source: Alexandria, functional PBE.

Properties
D(E_F) = 0.445 states/eV/atom
Offset from the most stable computed form = 0.159 eV per formula unit
Formation energy without anion corrections = -0.6065 eV per atom
Energy = -10.2 eV/f.u.
Size of the total moment = 0.0000 μB/atom
Space-group type = Amm2, No. 38

Unit cell a=10.5300 b=10.5300 c=3.8589 alpha=68.53 beta=68.53 gamma=18.78
Fractional coordinates of all 4 atoms:
K 0.9148 0.9148 0.2957
K 0.7154 0.7154 0.6940
Al 0.5572 0.5572 0.5101
Cl 0.3126 0.3126 0.0001



# 8
A geometry-optimized ScBe2Si structure. Source: Alexandria, functional PBE.

Properties
D(E_F) = 0.372 states/eV/atom
Formation energy without anion corrections = 0.0532 eV per atom
Energy = -19.0 eV/f.u.
Size of the total moment = 0.0368 μB/atom
Space-group type = Pmmm, No. 47

Unit cell a=2.9743 b=3.0901 c=5.8364 alpha=90.00 beta=90.00 gamma=90.00
Fractional coordinates of all 4 atoms:
Sc 0.5000 0.5000 0.2500
Be 0.0000 0.0000 0.9389
Be 0.0000 0.0000 0.5611
Si 0.5000 0.5000 0.7500